No. 1
Here is a crystal of AsP4W relaxed with PBEsol from the Alexandria database. Energies are from meta-GGA SCAN.

Summary:
- SG = F-43m (216)
- V (Å³ per cell) = 85.85
- ΔH_f (0 K) (eV per atom) = 1.137

abc: 4.9517 4.9517 4.9517
angles: 60.00 60.00 60.00
With the nearest neighbours (Å) after each atom.
Positions (direct):
As: 0.0000 0.0000 0.0000  12 P 2.90, 4 W 3.03
W: 0.7500 0.7500 0.7500  12 P 2.90, 4 As 3.03
P: 0.8736 0.3755 0.3755  6 P 2.47-2.49
P: 0.3755 0.3755 0.3755  6 P 2.47-2.49
P: 0.3755 0.3755 0.8736  6 P 2.47-2.49
P: 0.3755 0.8736 0.3755  6 P 2.47-2.49

---

No. 2
Here is a crystal of AsPW relaxed with PBEsol from the Alexandria database. Energies are from meta-GGA SCAN.

Summary:
- SG = F-43m (216)
- V (Å³ per cell) = 49.41
- ΔH_f (0 K) (eV per atom) = 0.683

abc: 4.1188 4.1188 4.1188
angles: 60.00 60.00 60.00
With the nearest neighbours (Å) after each atom.
Positions (direct):
As: 0.5000 0.5000 0.5000  4 P 2.52
W: 0.0000 0.0000 0.0000  4 P 2.52
P: 0.2500 0.2500 0.2500  4 As 2.52, 4 W 2.52

---

No. 3
Here is a crystal of AsPW relaxed with PBEsol from the Alexandria database. Energies are from meta-GGA SCAN.

Summary:
- SG = F-43m (216)
- V (Å³ per cell) = 51.43
- ΔH_f (0 K) (eV per atom) = 1.000

abc: 4.1743 4.1743 4.1743
angles: 60.00 60.00 60.00
With the nearest neighbours (Å) after each atom.
Positions (direct):
P: 0.0000 0.0000 0.0000  4 As 2.56
As: 0.2500 0.2500 0.2500  4 W 2.56, 4 P 2.56
W: 0.5000 0.5000 0.5000  4 As 2.56

---

No. 4
Here is a crystal of YAs2P relaxed with PBEsol from the Alexandria database. Energies are from meta-GGA SCAN.

Summary:
- SG = C2/m (12)
- V (Å³ per cell) = 83.72
- ΔH_f (0 K) (eV per atom) = -0.732

abc: 3.8216 4.0560 5.7781
angles: 97.47 109.31 90.00
With the nearest neighbours (Å) after each atom.
Positions (direct):
As: 0.2296 0.2890 0.4592  2 As 2.56, 1 P 2.61
As: 0.7704 0.7110 0.5408  2 As 2.56, 1 P 2.61
Y: 0.5000 0.5000 0.0000  4 P 2.79, 2 As 2.96
P: 0.0000 0.0000 0.0000  2 As 2.61, 4 Y 2.79

---

No. 5
Here is a crystal of YAsP4 relaxed with PBEsol from the Alexandria database. Energies are from meta-GGA SCAN.

Summary:
- SG = F-43m (216)
- V (Å³ per cell) = 99.08
- ΔH_f (0 K) (eV per atom) = 0.048

abc: 5.1940 5.1940 5.1940
angles: 60.00 60.00 60.00
With the nearest neighbours (Å) after each atom.
Positions (direct):
P: 0.3665 0.3665 0.9005  3 P 2.42
P: 0.9005 0.3665 0.3665  3 P 2.42
P: 0.3665 0.9005 0.3665  3 P 2.42
P: 0.3665 0.3665 0.3665  3 P 2.42
Y: 0.7500 0.7500 0.7500  12 P 3.07, 4 As 3.18
As: 0.0000 0.0000 0.0000  12 P 3.03, 4 Y 3.18

---

No. 6
Here is a crystal of ZnAs2P relaxed with PBEsol from the Alexandria database. Energies are from meta-GGA SCAN.

Summary:
- SG = P4mm (99)
- V (Å³ per cell) = 73.85
- ΔH_f (0 K) (eV per atom) = 0.066

abc: 3.5258 3.5258 5.9405
angles: 90.00 90.00 90.00
With the nearest neighbours (Å) after each atom.
Positions (direct):
Zn: 0.5000 0.5000 0.9206  5 As 2.48-2.57
P: 0.0000 0.0000 0.4259  5 As 2.31-2.55
As: 0.0000 0.0000 0.8153  1 P 2.31, 4 Zn 2.57
As: 0.5000 0.5000 0.3382  1 Zn 2.48, 4 P 2.55

---

No. 7
Here is a crystal of ZnAsP relaxed with PBEsol from the Alexandria database. Energies are from meta-GGA SCAN.

Summary:
- SG = I4mm (107)
- V (Å³ per cell) = 49.76
- ΔH_f (0 K) (eV per atom) = 0.486

abc: 2.6362 2.6362 7.3983
angles: 100.26 100.26 90.00
With the nearest neighbours (Å) after each atom.
Positions (direct):
P: 0.6860 0.6860 0.3719  4 P 2.64, 4 Zn 2.75
Zn: 0.3273 0.3273 0.6546  4 Zn 2.64, 4 P 2.75, 4 As 2.95
As: 0.9867 0.9867 0.9735  4 As 2.64, 4 Zn 2.95

---

No. 8
Here is a crystal of ZrAs2P relaxed with PBEsol from the Alexandria database. Energies are from meta-GGA SCAN.

Summary:
- SG = Cm (8)
- V (Å³ per cell) = 74.05
- ΔH_f (0 K) (eV per atom) = -0.362

abc: 3.4009 4.6249 5.0066
angles: 89.00 109.86 90.00
With the nearest neighbours (Å) after each atom.
Positions (direct):
Zr: 0.7456 0.7358 0.4913  3 P 2.75-2.79, 7 As 2.81-2.93
P: 0.4672 0.5686 0.9343  3 As 2.45-2.50
As: 0.2630 0.2497 0.5260  1 P 2.45, 1 As 2.67
As: 0.0242 0.9459 0.0484  2 P 2.50, 1 As 2.67

---

No. 9
Here is a crystal of Zr2AsP relaxed with PBEsol from the Alexandria database. Energies are from meta-GGA SCAN.

Summary:
- SG = R-3m (166)
- V (Å³ per cell) = 75.32
- ΔH_f (0 K) (eV per atom) = -1.380

abc: 3.7394 3.7394 6.5841
angles: 73.50 73.50 60.00
With the nearest neighbours (Å) after each atom.
Positions (direct):
Zr: 0.2422 0.2422 0.2734  3 P 2.58, 3 As 2.75
Zr: 0.7578 0.7578 0.7266  3 P 2.58, 3 As 2.75
As: 0.0000 0.0000 0.0000  6 Zr 2.75
P: 0.5000 0.5000 0.5000  6 Zr 2.58

---

No. 10
Here is a crystal of ZrAsP2 relaxed with PBEsol from the Alexandria database. Energies are from meta-GGA SCAN.

Summary:
- SG = I-42d (122)
- V (Å³ per cell) = 185.66
- ΔH_f (0 K) (eV per atom) = -0.114

abc: 5.8293 5.8293 6.8443
angles: 115.20 115.20 90.00
With the nearest neighbours (Å) after each atom.
Positions (direct):
Zr: 0.2500 0.7500 0.5000  4 P 2.53
Zr: 0.0000 0.0000 0.0000  4 P 2.53
As: 0.5000 0.5000 0.0000  4 P 2.42
As: 0.7500 0.2500 0.5000  4 P 2.42
P: 0.6250 0.6093 0.7500  2 As 2.42, 2 Zr 2.53
P: 0.8593 0.3750 0.2500  2 As 2.42, 2 Zr 2.53
P: 0.3907 0.8750 0.2500  2 As 2.42, 2 Zr 2.53
P: 0.1250 0.1407 0.7500  2 As 2.42, 2 Zr 2.53

---

No. 11
Here is a crystal of ZrAsP2 relaxed with PBEsol from the Alexandria database. Energies are from meta-GGA SCAN.

Summary:
- SG = Pmmm (47)
- V (Å³ per cell) = 68.61
- ΔH_f (0 K) (eV per atom) = -0.276

abc: 3.5965 3.6940 5.1646
angles: 90.00 90.00 90.00
With the nearest neighbours (Å) after each atom.
Positions (direct):
Zr: 0.5000 0.5000 0.0000  4 P 2.58
P: 0.0000 0.0000 0.0000  4 Zr 2.58
P: 0.0000 0.5000 0.5000  4 As 2.58
As: 0.5000 0.0000 0.5000  4 P 2.58

---

No. 12
Here is a crystal of ZrAsP2 relaxed with PBEsol from the Alexandria database. Energies are from meta-GGA SCAN.

Summary:
- SG = Cmmm (65)
- V (Å³ per cell) = 65.33
- ΔH_f (0 K) (eV per atom) = -0.304

abc: 3.3698 4.4559 4.4559
angles: 102.46 90.00 90.00
With the nearest neighbours (Å) after each atom.
Positions (direct):
P: 0.0000 0.0000 0.5000  2 P 2.79, 4 Zr 2.79, 4 As 2.79
P: 0.0000 0.5000 0.0000  2 P 2.79, 4 As 2.79, 4 Zr 2.79
Zr: 0.5000 0.0000 0.0000  2 As 2.79, 8 P 2.79
As: 0.5000 0.5000 0.5000  2 Zr 2.79, 8 P 2.79

---

No. 13
Here is a crystal of Zr2AsP relaxed with PBEsol from the Alexandria database. Energies are from meta-GGA SCAN.

Summary:
- SG = I-42d (122)
- V (Å³ per cell) = 204.03
- ΔH_f (0 K) (eV per atom) = -0.690

abc: 5.8900 5.8900 7.2065
angles: 114.12 114.12 90.00
With the nearest neighbours (Å) after each atom.
Positions (direct):
Zr: 0.8616 0.3750 0.2500  2 P 2.50, 2 As 2.60
Zr: 0.3884 0.8750 0.2500  2 P 2.50, 2 As 2.60
Zr: 0.1250 0.1384 0.7500  2 P 2.50, 2 As 2.60
Zr: 0.6250 0.6116 0.7500  2 P 2.50, 2 As 2.60
P: 0.5000 0.5000 0.0000  4 Zr 2.50
P: 0.7500 0.2500 0.5000  4 Zr 2.50
As: 0.0000 0.0000 0.0000  4 Zr 2.60
As: 0.2500 0.7500 0.5000  4 Zr 2.60